(1)
## TbThPa2Rh4 (PBE)

Data for a geometry-optimized TbThPa2Rh4 structure.

Unit cell a=5.6901 b=5.6901 c=6.9915 alpha=116.63 beta=116.63 gamma=84.17
Closest atoms and distances in Å follow each position.
Sites, in units of the cell vectors:
Tb 0.4957 0.4957 0.0000  6 Rh 2.80-2.89
Th 0.9246 0.9246 0.0000  6 Rh 2.83-2.93
Pa 0.1689 0.6689 0.5000  6 Rh 2.81-2.88
Pa 0.6689 0.1689 0.5000  6 Rh 2.81-2.88
Rh 0.0053 0.4077 0.0000  2 Pa 2.83, 2 Th 2.83-2.93, 2 Tb 2.88-2.89, 1 Rh 3.07
Rh 0.4077 0.0053 0.0000  2 Pa 2.83, 2 Th 2.83-2.93, 2 Tb 2.88-2.89, 1 Rh 3.07
Rh 0.1700 0.1700 0.5139  1 Tb 2.80, 4 Pa 2.81-2.88, 1 Th 2.86
Rh 0.6561 0.6561 0.4861  1 Tb 2.80, 4 Pa 2.81-2.88, 1 Th 2.86

Summary:
symmetry: No. 42
DOS at the Fermi energy: 5.405 states/eV per cell
energy of formation from the pure elements: -72.87 kJ/mol of atoms

(2)
## Tb2TmPa2Rh5 (PBE)

Data for a geometry-optimized Tb2TmPa2Rh5 structure.

Unit cell a=3.5948 b=10.8274 c=10.8274 alpha=90.00 beta=90.00 gamma=90.00
Closest atoms and distances in Å follow each position.
Sites, in units of the cell vectors:
Tb 0.0000 0.6703 0.1703  1 Pa 2.94, 2 Rh 3.17
Tb 0.0000 0.3297 0.8297  1 Pa 2.94, 2 Rh 3.17
Tb 0.0000 0.1703 0.3297  1 Pa 2.94, 2 Rh 3.17
Tb 0.0000 0.8297 0.6703  1 Pa 2.94, 2 Rh 3.17
Tm 0.0000 0.0000 0.0000  8 Rh 2.88
Tm 0.0000 0.5000 0.5000  8 Rh 2.88
Pa 0.0000 0.1376 0.6376  6 Rh 2.67-2.77, 1 Tb 2.94
Pa 0.0000 0.8624 0.3624  6 Rh 2.67-2.77, 1 Tb 2.94
Pa 0.0000 0.6376 0.8624  6 Rh 2.67-2.77, 1 Tb 2.94
Pa 0.0000 0.3624 0.1376  6 Rh 2.67-2.77, 1 Tb 2.94
Rh 0.5000 0.2021 0.0506  2 Pa 2.67, 2 Tm 2.88
Rh 0.5000 0.7979 0.9494  2 Pa 2.67, 2 Tm 2.88
Rh 0.5000 0.0506 0.7979  2 Pa 2.67, 2 Tm 2.88
Rh 0.5000 0.7021 0.4494  2 Pa 2.67, 2 Tm 2.88
Rh 0.5000 0.9494 0.2021  2 Pa 2.67, 2 Tm 2.88
Rh 0.5000 0.2979 0.5506  2 Pa 2.67, 2 Tm 2.88
Rh 0.5000 0.5506 0.7021  2 Pa 2.67, 2 Tm 2.88
Rh 0.5000 0.4494 0.2979  2 Pa 2.67, 2 Tm 2.88
Rh 0.5000 0.5000 0.0000  4 Pa 2.77
Rh 0.5000 0.0000 0.5000  4 Pa 2.77

Summary:
symmetry: No. 127
DOS at the Fermi energy: 18.721 states/eV per cell
energy of formation from the pure elements: -66.25 kJ/mol of atoms

(3)
## TbTmPa2Rh4 (PBE)

Data for a geometry-optimized TbTmPa2Rh4 structure.

Unit cell a=5.6440 b=5.6440 c=6.8380 alpha=116.53 beta=116.53 gamma=85.27
Closest atoms and distances in Å follow each position.
Sites, in units of the cell vectors:
Tb 0.9310 0.9310 0.0000  6 Rh 2.81-2.92
Tm 0.5159 0.5159 0.0000  6 Rh 2.72-2.89
Pa 0.1583 0.6583 0.5000  6 Rh 2.77-2.88
Pa 0.6583 0.1583 0.5000  6 Rh 2.77-2.88
Rh 0.0218 0.4135 0.0000  2 Pa 2.79, 2 Tb 2.81-2.92, 2 Tm 2.87-2.89, 1 Rh 2.99
Rh 0.4135 0.0218 0.0000  2 Pa 2.79, 2 Tb 2.81-2.92, 2 Tm 2.87-2.89, 1 Rh 2.99
Rh 0.1654 0.1654 0.5324  1 Tm 2.72, 4 Pa 2.77-2.88, 1 Tb 2.90
Rh 0.6331 0.6331 0.4676  1 Tm 2.72, 4 Pa 2.77-2.88, 1 Tb 2.90

Summary:
symmetry: No. 42
DOS at the Fermi energy: 7.465 states/eV per cell
energy of formation from the pure elements: -70.43 kJ/mol of atoms

(4)
## Pa2TcRh (PBE)

Data for a geometry-optimized Pa2TcRh structure.

Unit cell a=3.3707 b=3.4066 c=8.0274 alpha=114.31 beta=85.66 gamma=102.08
Closest atoms and distances in Å follow each position.
Sites, in units of the cell vectors:
Pa 0.5268 0.9978 0.3001  2 Tc 2.80, 2 Rh 2.81-2.82
Pa 0.5195 0.5078 0.8030  2 Tc 2.80, 2 Rh 2.81-2.82
Tc 0.0231 0.2528 0.0515  4 Pa 2.80
Rh 0.0233 0.7527 0.5516  4 Pa 2.81-2.82

Summary:
symmetry: No. 2
DOS at the Fermi energy: 5.622 states/eV per cell
energy of formation from the pure elements: -37.46 kJ/mol of atoms
energy above the most stable polymorph in this dataset: 0.29 eV/f.u.

(5)
## Pa2TcRh (PBE)

Data for a geometry-optimized Pa2TcRh structure.

Unit cell a=3.3844 b=3.3844 c=7.0924 alpha=90.00 beta=90.00 gamma=90.00
Closest atoms and distances in Å follow each position.
Sites, in units of the cell vectors:
Pa 0.0000 0.0000 0.7523  4 Tc 2.97, 4 Rh 2.99
Pa 0.0000 0.0000 0.2477  4 Tc 2.97, 4 Rh 2.99
Rh 0.5000 0.5000 0.5000  8 Pa 2.99
Tc 0.5000 0.5000 0.0000  8 Pa 2.97

Summary:
symmetry: No. 123
DOS at the Fermi energy: 5.715 states/eV per cell
energy of formation from the pure elements: -36.97 kJ/mol of atoms
energy above the most stable polymorph in this dataset: 0.31 eV/f.u.

(6)
## Pa6Tc2Rh (PBE)

Data for a geometry-optimized Pa6Tc2Rh structure.

Unit cell a=6.0719 b=7.1042 c=9.4725 alpha=90.00 beta=88.48 gamma=90.00
Closest atoms and distances in Å follow each position.
Sites, in units of the cell vectors:
Pa 0.8714 0.9911 0.2231  2 Tc 2.68-2.78, 1 Rh 2.76, 1 Pa 2.97
Pa 0.8561 0.6413 0.5592  1 Rh 2.75, 2 Tc 2.84-3.00, 1 Pa 2.87
Pa 0.8767 0.7031 0.9223  1 Rh 2.79, 3 Tc 2.83-3.04, 1 Pa 2.97
Pa 0.6233 0.2031 0.5777  1 Rh 2.79, 3 Tc 2.83-3.04, 1 Pa 2.97
Pa 0.6439 0.1413 0.9408  1 Rh 2.75, 2 Tc 2.84-3.00, 1 Pa 2.87
Pa 0.6286 0.4911 0.2769  2 Tc 2.68-2.78, 1 Rh 2.76, 1 Pa 2.97
Pa 0.1286 0.0089 0.7769  2 Tc 2.68-2.78, 1 Rh 2.76, 1 Pa 2.97
Pa 0.1439 0.3587 0.4408  1 Rh 2.75, 2 Tc 2.84-3.00, 1 Pa 2.87
Pa 0.1233 0.2969 0.0777  1 Rh 2.79, 3 Tc 2.83-3.04, 1 Pa 2.97
Pa 0.3767 0.7969 0.4223  1 Rh 2.79, 3 Tc 2.83-3.04, 1 Pa 2.97
Pa 0.3561 0.8587 0.0592  1 Rh 2.75, 2 Tc 2.84-3.00, 1 Pa 2.87
Pa 0.3714 0.5089 0.7231  2 Tc 2.68-2.78, 1 Rh 2.76, 1 Pa 2.97
Tc 0.9575 0.3571 0.7820  5 Pa 2.68-3.00
Tc 0.5425 0.8571 0.7180  5 Pa 2.68-3.00
Tc 0.4575 0.1429 0.2820  5 Pa 2.68-3.00
Tc 0.0425 0.6429 0.2180  5 Pa 2.68-3.00
Rh 0.5000 0.5000 0.0000  6 Pa 2.75-2.79
Rh 0.0000 0.0000 0.5000  6 Pa 2.75-2.79

Summary:
symmetry: No. 14
DOS at the Fermi energy: 31.981 states/eV per cell
energy of formation from the pure elements: -14.66 kJ/mol of atoms

(7)
## PaTcRh2 (PBE)

Data for a geometry-optimized PaTcRh2 structure.

Unit cell a=4.0853 b=4.0574 c=4.0574 alpha=90.00 beta=90.00 gamma=90.00
Closest atoms and distances in Å follow each position.
Sites, in units of the cell vectors:
Pa 0.5000 0.5000 0.5000  4 Tc 2.87, 8 Rh 2.88
Rh 0.0000 0.0000 0.5000  4 Rh 2.87, 4 Tc 2.88, 4 Pa 2.88
Rh 0.0000 0.5000 0.0000  4 Rh 2.87, 4 Tc 2.88, 4 Pa 2.88
Tc 0.5000 0.0000 0.0000  4 Pa 2.87, 8 Rh 2.88

Summary:
symmetry: No. 123
DOS at the Fermi energy: 4.266 states/eV per cell
energy of formation from the pure elements: -55.77 kJ/mol of atoms

(8)
## Pa2TcRh (PBE)

Data for a geometry-optimized Pa2TcRh structure.

Unit cell a=4.8615 b=4.8615 c=4.8615 alpha=60.00 beta=60.00 gamma=60.00
Closest atoms and distances in Å follow each position.
Sites, in units of the cell vectors:
Pa 0.2500 0.2500 0.2500  4 Rh 2.98, 4 Tc 2.98
Pa 0.7500 0.7500 0.7500  4 Tc 2.98, 4 Rh 2.98
Rh 0.0000 0.0000 0.0000  8 Pa 2.98
Tc 0.5000 0.5000 0.5000  8 Pa 2.98

Summary:
symmetry: No. 225
DOS at the Fermi energy: 5.962 states/eV per cell
energy of formation from the pure elements: -34.40 kJ/mol of atoms
energy above the most stable polymorph in this dataset: 0.42 eV/f.u.

Result set for ρ: 11.70; 11.53; 11.57; 13.40; 13.55; 13.70; 13.21; 13.55 Mg/m³, one per record in the order listed.